# BeHg2As | Alexandria | GGA-PBE | optimized geometry
data_BeHg2As
_chemical_formula_sum 'Be2 Hg4 As2'
_symmetry_space_group_name_H-M 'I -4 m 2'
_symmetry_Int_Tables_number 119
_symmetry_space_group_name_Hall 'I -4 -2'
_cell_length_a 4.288
_cell_length_b 4.288
_cell_length_c 8.535
_cell_angle_alpha 90.00
_cell_angle_beta 90.00
_cell_angle_gamma 90.00
loop_
_atom_site_label
_atom_site_fract_x
_atom_site_fract_y
_atom_site_fract_z
Be1 0.000 0.000 0.000
Hg1 0.000 0.000 0.500
Hg2 0.000 0.500 0.750
As1 0.000 0.500 0.250
# Raw total energy = -0.0609 hartree per atom
# Energy above the most stable polymorph in this dataset = 529 meV/atom
# DOS at the Fermi energy = 1.39 states/eV/f.u.
# DFT formation energy = 2.35 eV per formula unit

=====

# Tb5Pm3Er4 | Alexandria | GGA-PBE | optimized geometry
data_Tb5Pm3Er4
_chemical_formula_sum 'Tb10 Pm6 Er8'
_symmetry_space_group_name_H-M 'C 1 2/m 1'
_symmetry_Int_Tables_number 12
_symmetry_space_group_name_Hall '-C 2y'
_cell_length_a 18.044
_cell_length_b 5.711
_cell_length_c 8.661
_cell_angle_alpha 90.00
_cell_angle_beta 117.61
_cell_angle_gamma 90.00
loop_
_atom_site_label
_atom_site_fract_x
_atom_site_fract_y
_atom_site_fract_z
Tb1 0.000 0.000 0.000
Tb2 0.106 0.500 0.430
Tb3 0.156 0.500 0.881
Pm1 0.000 0.500 0.000
Pm2 0.185 0.000 0.215
Er1 0.031 0.000 0.694
Er2 0.203 0.000 0.650
# Raw total energy = -0.1605 hartree per atom
# Energy above the most stable polymorph in this dataset = 253 meV/atom
# DOS at the Fermi energy = 14.80 states/eV/f.u.
# DFT formation energy = 3.24 eV per formula unit

=====

# LaTcRu2 | Alexandria | GGA-PBE | optimized geometry
data_LaTcRu2
_chemical_formula_sum 'La1 Tc1 Ru2'
_symmetry_space_group_name_H-M 'P 1 m 1'
_symmetry_Int_Tables_number 6
_symmetry_space_group_name_Hall 'P -2y'
_cell_length_a 3.047
_cell_length_b 4.476
_cell_length_c 5.477
_cell_angle_alpha 90.00
_cell_angle_beta 99.96
_cell_angle_gamma 90.00
loop_
_atom_site_label
_atom_site_fract_x
_atom_site_fract_y
_atom_site_fract_z
La1 0.000 0.000 0.000
Tc1 0.235 0.500 0.589
Ru1 0.586 0.000 0.508
Ru2 0.603 0.500 0.201
# Raw total energy = -0.2992 hartree per atom
# Energy above the most stable polymorph in this dataset = 186 meV/atom
# DOS at the Fermi energy = 5.19 states/eV/f.u.
# DFT formation energy = 1.28 eV per formula unit

=====

# Cu3TcB | Alexandria | GGA-PBE | optimized geometry
data_Cu3TcB
_chemical_formula_sum 'Cu3 Tc1 B1'
_symmetry_space_group_name_H-M 'P m -3 m'
_symmetry_Int_Tables_number 221
_symmetry_space_group_name_Hall '-P 4 2 3'
_cell_length_a 3.915
_cell_length_b 3.915
_cell_length_c 3.915
_cell_angle_alpha 90.00
_cell_angle_beta 90.00
_cell_angle_gamma 90.00
loop_
_atom_site_label
_atom_site_fract_x
_atom_site_fract_y
_atom_site_fract_z
Cu1 0.000 0.000 0.500
Tc1 0.500 0.500 0.500
B1 0.000 0.000 0.000
# Raw total energy = -0.1944 hartree per atom
# Energy above the most stable polymorph in this dataset = 0 meV/atom
# DOS at the Fermi energy = 3.54 states/eV/f.u.
# DFT formation energy = 2.89 eV per formula unit

=====

# Pr8PtRh3I3 | Alexandria | GGA-PBE | optimized geometry
data_Pr8PtRh3I3
_chemical_formula_sum 'Pr16 Pt2 Rh6 I6'
_symmetry_space_group_name_H-M 'C 1 2/m 1'
_symmetry_Int_Tables_number 12
_symmetry_space_group_name_Hall '-C 2y'
_cell_length_a 14.638
_cell_length_b 8.466
_cell_length_c 9.424
_cell_angle_alpha 90.00
_cell_angle_beta 121.13
_cell_angle_gamma 90.00
loop_
_atom_site_label
_atom_site_fract_x
_atom_site_fract_y
_atom_site_fract_z
Pr1 0.022 0.245 0.311
Pr2 0.230 0.000 0.689
Pr3 0.232 0.500 0.688
Pt1 0.000 0.500 0.500
Rh1 0.000 0.000 0.500
Rh2 0.250 0.250 0.500
I1 0.000 0.500 0.000
I2 0.250 0.250 0.000
# Raw total energy = -0.2055 hartree per atom
# DOS at the Fermi energy = 7.65 states/eV/f.u.

=====

# KSbAs2 | Alexandria | GGA-PBE | optimized geometry
data_KSbAs2
_chemical_formula_sum 'K1 Sb1 As2'
_symmetry_space_group_name_H-M 'P 4/m m m'
_symmetry_Int_Tables_number 123
_symmetry_space_group_name_Hall '-P 4 2'
_cell_length_a 4.734
_cell_length_b 4.734
_cell_length_c 4.367
_cell_angle_alpha 90.00
_cell_angle_beta 90.00
_cell_angle_gamma 90.00
loop_
_atom_site_label
_atom_site_fract_x
_atom_site_fract_y
_atom_site_fract_z
K1 0.000 0.000 0.000
Sb1 0.500 0.500 0.000
As1 0.000 0.500 0.500
# Raw total energy = -0.1285 hartree per atom
# DOS at the Fermi energy = 2.30 states/eV/f.u.

=====

# NdTm3 | Alexandria | GGA-PBE | optimized geometry
data_NdTm3
_chemical_formula_sum 'Nd2 Tm6'
_symmetry_space_group_name_H-M 'I 4/m m m'
_symmetry_Int_Tables_number 139
_symmetry_space_group_name_Hall '-I 4 2'
_cell_length_a 5.021
_cell_length_b 5.021
_cell_length_c 9.923
_cell_angle_alpha 90.00
_cell_angle_beta 90.00
_cell_angle_gamma 90.00
loop_
_atom_site_label
_atom_site_fract_x
_atom_site_fract_y
_atom_site_fract_z
Nd1 0.000 0.000 0.000
Tm1 0.000 0.000 0.500
Tm2 0.000 0.500 0.250
# Raw total energy = -0.1660 hartree per atom
# Energy above the most stable polymorph in this dataset = 20 meV/atom
# DOS at the Fermi energy = 6.15 states/eV/f.u.
# DFT formation energy = 0.12 eV per formula unit

=====

# Th5Tl4Ga | Alexandria | GGA-PBE | optimized geometry
data_Th5Tl4Ga
_chemical_formula_sum 'Th5 Tl4 Ga1'
_symmetry_space_group_name_H-M 'P 4/m m m'
_symmetry_Int_Tables_number 123
_symmetry_space_group_name_Hall '-P 4 2'
_cell_length_a 3.524
_cell_length_b 3.524
_cell_length_c 22.865
_cell_angle_alpha 90.00
_cell_angle_beta 90.00
_cell_angle_gamma 90.00
loop_
_atom_site_label
_atom_site_fract_x
_atom_site_fract_y
_atom_site_fract_z
Th1 0.000 0.000 0.000
Th2 0.000 0.000 0.205
Th3 0.000 0.000 0.411
Tl1 0.500 0.500 0.102
Tl2 0.500 0.500 0.307
Ga1 0.500 0.500 0.500
# Raw total energy = -0.1896 hartree per atom
# DOS at the Fermi energy = 14.23 states/eV/f.u.
# DFT formation energy = -2.01 eV per formula unit